VASP calculation (GGA-PBE) on an optimized crystal structure of MgBPt3.

Values from the calculation:
DFT total energy = -5.662 eV/atom
formation energy = -0.383 eV per atom
E above lowest polymorph = 202 meV per atom

Cell lengths 10.321, 7.491, 7.491 Å; angles 85.69, 125.46, 54.54 degrees
Atoms (fractional coordinates):
1 Pt 0.960 0.263 0.950
2 Pt 0.534 0.165 0.515
3 Pt 0.034 0.985 0.335
4 Pt 0.040 0.737 0.050
5 Pt 0.966 0.015 0.665
6 Pt 0.318 0.166 0.060
7 Pt 0.466 0.835 0.485
8 Pt 0.818 0.440 0.334
9 Pt 0.182 0.560 0.666
10 Pt 0.540 0.450 0.763
11 Pt 0.460 0.550 0.237
12 Pt 0.682 0.834 0.940
13 Mg 0.837 0.670 0.604
14 Mg 0.337 0.896 0.830
15 Mg 0.663 0.104 0.170
16 Mg 0.163 0.330 0.396
17 B 0.250 0.791 0.291
18 B 0.750 0.501 0.001
19 B 0.250 0.499 0.999
20 B 0.750 0.209 0.709

VASP calculation (GGA-PBE) on an optimized crystal structure of MgBPt3.

Values from the calculation:
DFT total energy = -4.755 eV/atom
formation energy = 0.524 eV per atom
E above lowest polymorph = 1108 meV per atom

Cell lengths 4.775, 4.775, 9.756 Å; angles 75.83, 75.83, 90.00 degrees
Atoms (fractional coordinates):
1 Mg 0.250 0.750 0.500
2 Mg 0.000 0.000 0.000
3 Pt 0.655 0.655 0.689
4 Pt 0.624 0.870 0.260
5 Pt 0.345 0.345 0.311
6 Pt 0.116 0.870 0.260
7 Pt 0.130 0.376 0.740
8 Pt 0.130 0.884 0.740
9 B 0.701 0.201 0.598
10 B 0.799 0.299 0.402

VASP calculation (GGA-PBE) on an optimized crystal structure of MgBPt3.

Values from the calculation:
DFT total energy = -5.626 eV/atom
formation energy = -0.347 eV per atom
E above lowest polymorph = 238 meV per atom

Cell lengths 17.958, 7.447, 7.447 Å; angles 149.35, 157.25, 22.75 degrees
Atoms (fractional coordinates):
1 Mg 0.192 0.982 0.018
2 Mg 0.808 0.018 0.982
3 Pt 0.989 0.610 0.390
4 Pt 0.315 0.651 0.349
5 Pt 0.328 0.440 0.560
6 Pt 0.685 0.349 0.651
7 Pt 0.011 0.390 0.610
8 Pt 0.672 0.560 0.440
9 B 0.378 0.013 0.987
10 B 0.622 0.987 0.013